# VGe2BiO8 (GGA+U, optimized geometry)
# Volume: 159.3 Å³ per cell
# Total energy: -6.419 eV per atom
# M_tot: 0.0 μB per formula unit
data_VGe2BiO8
_cell_length_a 5.2526
_cell_length_b 5.2526
_cell_length_c 6.6653
_cell_angle_alpha 90.00
_cell_angle_beta 90.00
_cell_angle_gamma 120.00
_symmetry_space_group_name_H-M 'P -3'
_symmetry_Int_Tables_number 147
loop_
_symmetry_equiv_pos_as_xyz
'x,y,z'
'-x,-y,-z'
'-y,x-y,z'
'y,-x+y,-z'
'-x+y,-x,z'
'x-y,x,-z'
loop_
_atom_site_label
_atom_site_fract_x
_atom_site_fract_y
_atom_site_fract_z
V1 0.0000 0.0000 0.0000
Ge1 0.3333 0.6667 0.2596
Bi1 0.0000 0.0000 0.5000
O1 0.0717 0.3083 0.1763
O2 0.3333 0.6667 0.5185